(1)
## Ni3Mo5Pd12 (PBE)

Data for a relaxed structure of Ni3Mo5Pd12.

Summary:
DFT formation energy	810	meV/atom

Cell lengths 14.4100, 14.4100, 14.4100 Å; angles 90.00, 90.00, 90.00 degrees
Space group Ia-3d (No. 230)
One atom of each set of equivalent atoms:
1 Ni 0.0000 0.2500 0.1250 (multiplicity 24)
2 Mo 0.0000 0.0000 0.0000 (multiplicity 16)
3 Mo 0.0000 0.2500 0.3750 (multiplicity 24)
4 Pd 0.0217 0.0851 0.6497 (multiplicity 96)

(2)
## NiMoPd3 (PBE)

Data for a relaxed structure of NiMoPd3.

Summary:
DFT formation energy	1104	meV/atom

Cell lengths 4.5251, 4.5251, 4.5251 Å; angles 90.00, 90.00, 90.00 degrees
Space group Pm-3m (No. 221)
One atom of each set of equivalent atoms:
1 Ni 0.0000 0.0000 0.0000 (multiplicity 1)
2 Mo 0.5000 0.5000 0.5000 (multiplicity 1)
3 Pd 0.0000 0.0000 0.5000 (multiplicity 3)

(3)
## Ni3MoPd3 (PBE)

Data for a relaxed structure of Ni3MoPd3.

Summary:
DFT formation energy	-36	meV/atom

Cell lengths 7.1067, 7.1067, 4.3181 Å; angles 90.00, 90.00, 120.00 degrees
Space group P6_3/m (No. 176)
One atom of each set of equivalent atoms:
1 Ni 0.1036 0.4887 0.2500 (multiplicity 6)
2 Mo 0.3333 0.6667 0.7500 (multiplicity 2)
3 Pd 0.0540 0.2534 0.7500 (multiplicity 6)

(4)
## Ni6Mo2Pd (PBE)

Data for a relaxed structure of Ni6Mo2Pd.

Summary:
DFT formation energy	14	meV/atom

Cell lengths 4.0947, 4.8724, 6.5123 Å; angles 81.39, 71.74, 65.17 degrees
Space group P-1 (No. 2)
One atom of each set of equivalent atoms:
1 Ni 0.0561 0.2777 0.1101 (multiplicity 2)
2 Ni 0.2756 0.3923 0.5567 (multiplicity 2)
3 Ni 0.3931 0.9414 0.7722 (multiplicity 2)
4 Mo 0.3369 0.6672 0.1583 (multiplicity 2)
5 Pd 0.0000 0.0000 0.5000 (multiplicity 1)

(5)
## NiMoPdPt (PBE)

Data for a relaxed structure of NiMoPdPt.

Summary:
DFT formation energy	-143	meV/atom

Cell lengths 2.7441, 2.7441, 7.6509 Å; angles 90.00, 90.00, 90.00 degrees
Space group P4mm (No. 99)
One atom of each set of equivalent atoms:
1 Ni 0.0000 0.0000 0.0000 (multiplicity 1)
2 Mo 0.5000 0.5000 0.7770 (multiplicity 1)
3 Pd 0.5000 0.5000 0.2403 (multiplicity 1)
4 Pt 0.0000 0.0000 0.5161 (multiplicity 1)

(6)
## NiMoPdRh (PBE)

Data for a relaxed structure of NiMoPdRh.

Summary:
DFT formation energy	96	meV/atom

Cell lengths 6.1051, 6.1051, 6.1051 Å; angles 90.00, 90.00, 90.00 degrees
Space group F-43m (No. 216)
One atom of each set of equivalent atoms:
1 Ni 0.0000 0.0000 0.0000 (multiplicity 4)
2 Mo 0.2500 0.2500 0.2500 (multiplicity 4)
3 Pd 0.2500 0.2500 0.7500 (multiplicity 4)
4 Rh 0.0000 0.0000 0.5000 (multiplicity 4)

(7)
## NiMoPdRu (PBE)

Data for a relaxed structure of NiMoPdRu.

Summary:
DFT formation energy	184	meV/atom

Cell lengths 6.1025, 6.1025, 6.1025 Å; angles 90.00, 90.00, 90.00 degrees
Space group F-43m (No. 216)
One atom of each set of equivalent atoms:
1 Ni 0.0000 0.0000 0.0000 (multiplicity 4)
2 Mo 0.2500 0.2500 0.2500 (multiplicity 4)
3 Pd 0.2500 0.2500 0.7500 (multiplicity 4)
4 Ru 0.0000 0.0000 0.5000 (multiplicity 4)

(8)
## Sc2NiMoPd (PBE)

Data for a relaxed structure of Sc2NiMoPd.

Summary:
DFT formation energy	651	meV/atom

Cell lengths 4.9640, 4.9640, 4.3862 Å; angles 90.00, 90.00, 90.00 degrees
Space group P4/mmm (No. 123)
One atom of each set of equivalent atoms:
1 Sc 0.0000 0.5000 0.0000 (multiplicity 2)
2 Ni 0.0000 0.0000 0.5000 (multiplicity 1)
3 Mo 0.0000 0.0000 0.0000 (multiplicity 1)
4 Pd 0.5000 0.5000 0.5000 (multiplicity 1)